# Pm3Si2Ni4

Crystalline Pm3Si2Ni4 at its relaxed geometry (PBE, the Alexandria database).

Geometry as POSCAR:
```
Pm3Si2Ni4
1.0
5.139 -2.011 0.000
5.139 2.011 0.000
-1.413 0.000 7.905
Pm Si Ni
3 2 4
direct
0.000 0.000 0.000
0.378 0.378 0.618
0.622 0.622 0.382
0.328 0.328 0.209
0.672 0.672 0.791
0.088 0.088 0.642
0.263 0.263 0.912
0.737 0.737 0.088
0.912 0.912 0.358
```

Summary:
Formation energy from raw total energies in eV per atom: -0.62
Space group: No. 12
DOS at the Fermi energy in states/eV/f.u.: 7.392
Raw total energy in eV for the cell shown: -53.76